Density functional theory data (GGA+U) for a relaxed structure of KNiF3.

Properties
As for the uncorrected energy: -41.591 eV/cell. Its crystal system is monoclinic.

Unit cell a=16.836 b=7.703 c=7.703 alpha=156.82 beta=152.52 gamma=27.48
Site moments in Bohr magnetons follow the coordinates.
Atoms (fractional coordinates):
Ni: 0.665 0.936 0.064  1.82
Ni: 0.335 0.064 0.936  1.82
K: 0.870 0.989 0.011  0.00
K: 0.130 0.011 0.989  0.00
F: 0.782 0.248 0.752  0.05
F: 0.218 0.752 0.248  0.05
F: 0.143 0.168 0.832  0.04
F: 0.857 0.832 0.168  0.04
F: 0.498 0.638 0.362  0.05
F: 0.502 0.362 0.638  0.05